1.
Material: ZrGa8
Method: DFT, PBE-GGA
State: relaxed

a = 6.8067 Å, b = 6.8067 Å, c = 6.8067 Å
α = 94.57°, β = 94.57°, γ = 147.20°
With the nearest neighbours (Å) after each atom.
Element x y z (fractional)
Zr 0.0000 0.0000 0.0000  12 Ga 2.94-3.10
Ga 0.0000 0.3352 0.3352  11 Ga 2.89-3.04, 1 Zr 3.10
Ga 0.0000 0.6648 0.6648  11 Ga 2.89-3.04, 1 Zr 3.10
Ga 0.3294 0.3294 0.6587  10 Ga 2.83-3.15, 2 Zr 2.94
Ga 0.3294 0.6706 0.0000  10 Ga 2.83-3.15, 2 Zr 2.94
Ga 0.3352 0.0000 0.3352  11 Ga 2.89-3.04, 1 Zr 3.10
Ga 0.6648 0.0000 0.6648  11 Ga 2.89-3.04, 1 Zr 3.10
Ga 0.6706 0.3294 0.0000  10 Ga 2.83-3.15, 2 Zr 2.94
Ga 0.6706 0.6706 0.3413  10 Ga 2.83-3.15, 2 Zr 2.94

Properties
Space-group type   No. 139
E   -3.716 eV per atom
E_form   -76 meV per atom
Total magnetization   0.0 μB per cell
DOS(E_F)   5.1 states/eV/cell
Mass density   6.58 g/cm³

---

2.
Material: Zr2Ga3
Method: DFT, PBE-GGA
State: relaxed

a = 7.4546 Å, b = 5.5125 Å, c = 8.4017 Å
α = 60.65°, β = 40.13°, γ = 79.22°
With the nearest neighbours (Å) after each atom.
Element x y z (fractional)
Zr 0.2331 0.7669 0.3716  8 Ga 2.83-3.05
Zr 0.6216 0.8784 0.4831  8 Ga 2.83-3.05
Zr 0.7669 0.2331 0.6284  8 Ga 2.83-3.05
Zr 0.8784 0.6216 0.0169  8 Ga 2.83-3.05
Ga 0.1744 0.8046 0.0567  4 Ga 2.63-2.77, 5 Zr 2.87-2.94
Ga 0.1933 0.2857 0.0756  4 Ga 2.63-2.77, 5 Zr 2.87-2.94
Ga 0.2857 0.1933 0.4454  4 Ga 2.63-2.77, 5 Zr 2.87-2.94
Ga 0.3669 0.3669 0.6331  4 Ga 2.63-2.72, 4 Zr 2.83-2.91
Ga 0.6169 0.6169 0.8831  4 Ga 2.63-2.72, 4 Zr 2.83-2.91
Ga 0.8046 0.1744 0.9643  4 Ga 2.63-2.77, 5 Zr 2.87-2.94

Properties
Space-group type   No. 43
E   -5.852 eV per atom
E_form   -617 meV per atom
Total magnetization   0.0 μB per cell
DOS(E_F)   5.2 states/eV/cell
Mass density   7.11 g/cm³